[1]
First-principles (meta-GGA SCAN) data for BaMgSi at its PBEsol-relaxed geometry, as listed in Alexandria.

Lattice parameters (Å, degrees): 4.6035 4.6035 7.7760 90.00 90.00 90.00
Atoms (fractional coordinates):
Mg1 0.5000 0.5000 0.5000
Mg2 0.0000 0.0000 0.5000
Si1 0.5000 0.0000 0.7060
Si2 0.0000 0.5000 0.2940
Ba1 0.5000 0.0000 0.1588
Ba2 0.0000 0.5000 0.8412

## Properties
The space group is P4/nmm, No. 129. The calculation puts the formation energy (no corrections) at -0.44 eV per atom.


[2]
First-principles (meta-GGA SCAN) data for BaMgSi at its PBEsol-relaxed geometry, as listed in Alexandria.

Lattice parameters (Å, degrees): 4.7732 8.1671 8.2964 90.00 90.00 90.00
Atoms (fractional coordinates):
Mg1 0.2500 0.1460 0.5708
Mg2 0.7500 0.3540 0.0708
Mg3 0.2500 0.6460 0.9292
Mg4 0.7500 0.8540 0.4292
Si1 0.7500 0.7001 0.1088
Si2 0.2500 0.7999 0.6088
Si3 0.7500 0.2001 0.3912
Si4 0.2500 0.2999 0.8912
Ba1 0.7500 0.9878 0.8207
Ba2 0.2500 0.0122 0.1793
Ba3 0.7500 0.4878 0.6793
Ba4 0.2500 0.5122 0.3207

## Properties
The space group is Pnma, No. 62. The calculation puts the formation energy (no corrections) at -0.38 eV per atom.


[3]
First-principles (meta-GGA SCAN) data for BaMgSn at its PBEsol-relaxed geometry, as listed in Alexandria.

Lattice parameters (Å, degrees): 4.8871 4.8871 8.0837 90.00 90.00 90.00
Atoms (fractional coordinates):
Mg1 0.5000 0.5000 0.5000
Mg2 0.0000 0.0000 0.5000
Ba1 0.0000 0.5000 0.8323
Ba2 0.5000 0.0000 0.1677
Sn1 0.5000 0.0000 0.7143
Sn2 0.0000 0.5000 0.2857

## Properties
The space group is P4/nmm, No. 129. Its formation energy from the elements is -665 meV per atom.


[4]
First-principles (meta-GGA SCAN) data for BaMg2Sn2 at its PBEsol-relaxed geometry, as listed in Alexandria.

Lattice parameters (Å, degrees): 4.8467 4.8467 12.1309 90.00 90.00 90.00
Atoms (fractional coordinates):
Mg1 0.0000 0.5000 0.3647
Mg2 0.5000 0.0000 0.6353
Mg3 0.0000 0.0000 0.0000
Mg4 0.5000 0.5000 0.0000
Ba1 0.5000 0.0000 0.2517
Ba2 0.0000 0.5000 0.7483
Sn1 0.0000 0.0000 0.5000
Sn2 0.5000 0.5000 0.5000
Sn3 0.5000 0.0000 0.8646
Sn4 0.0000 0.5000 0.1354

## Properties
The space group is P4/nmm, No. 129. Its formation energy from the elements is -561 meV per atom.


[5]
First-principles (meta-GGA SCAN) data for BaMg3Sn at its PBEsol-relaxed geometry, as listed in Alexandria.

Lattice parameters (Å, degrees): 5.5479 5.5479 5.5479 90.00 90.00 90.00
Atoms (fractional coordinates):
Mg1 0.0000 0.5000 0.0000
Mg2 0.0000 0.0000 0.5000
Mg3 0.5000 0.0000 0.0000
Ba1 0.5000 0.5000 0.5000
Sn1 0.0000 0.0000 0.0000

## Properties
The space group is Pm-3m, No. 221. Its formation energy from the elements is 55 meV per atom.


[6]
First-principles (meta-GGA SCAN) data for Ba2SrMg at its PBEsol-relaxed geometry, as listed in Alexandria.

Lattice parameters (Å, degrees): 4.4971 6.2961 7.5180 114.82 107.40 90.00
Atoms (fractional coordinates):
Sr1 0.5000 0.0000 0.0000
Mg1 0.0000 0.5000 0.0000
Ba1 0.2784 0.2784 0.5568
Ba2 0.7216 0.7216 0.4432

## Properties
The space group is C2/m, No. 12. Its formation energy from the elements is 39 meV per atom.


[7]
First-principles (meta-GGA SCAN) data for BaSr2Mg2 at its PBEsol-relaxed geometry, as listed in Alexandria.

Lattice parameters (Å, degrees): 3.9165 9.9898 9.9898 90.00 90.00 90.00
Atoms (fractional coordinates):
Sr1 0.0000 0.3685 0.8685
Sr2 0.0000 0.8685 0.6315
Sr3 0.0000 0.6315 0.1315
Sr4 0.0000 0.1315 0.3685
Mg1 0.5000 0.1640 0.6640
Mg2 0.5000 0.6640 0.8360
Mg3 0.5000 0.8360 0.3360
Mg4 0.5000 0.3360 0.1640
Ba1 0.0000 0.0000 0.0000
Ba2 0.0000 0.5000 0.5000

## Properties
The space group is P4/mbm, No. 127. Its formation energy from the elements is 6 meV per atom.


[8]
First-principles (meta-GGA SCAN) data for Ba2SrMg at its PBEsol-relaxed geometry, as listed in Alexandria.

Lattice parameters (Å, degrees): 4.4115 6.4843 7.6877 114.94 106.67 90.00
Atoms (fractional coordinates):
Sr1 0.2140 0.7140 0.4281
Mg1 0.5036 0.5036 0.0073
Ba1 0.9972 0.9972 0.9943
Ba2 0.7852 0.2852 0.5703

## Properties
The space group is Imm2, No. 44. Its formation energy from the elements is 12 meV per atom.


[9]
First-principles (meta-GGA SCAN) data for Ba2SrMg at its PBEsol-relaxed geometry, as listed in Alexandria.

Lattice parameters (Å, degrees): 4.7273 6.2653 6.2653 89.99 90.00 90.00
Atoms (fractional coordinates):
Sr1 0.5000 0.0000 0.0000
Mg1 0.5000 0.5000 0.5000
Ba1 0.0000 0.0000 0.5000
Ba2 0.0000 0.5000 0.0000

## Properties
The space group is P4/mmm, No. 123. Its formation energy from the elements is 55 meV per atom.


[10]
First-principles (meta-GGA SCAN) data for Ba2SrMg at its PBEsol-relaxed geometry, as listed in Alexandria.

Lattice parameters (Å, degrees): 4.2706 4.2706 10.4386 90.00 90.00 90.00
Atoms (fractional coordinates):
Sr1 0.5000 0.5000 0.6935
Mg1 0.0000 0.0000 0.5109
Ba1 0.0000 0.0000 0.9894
Ba2 0.5000 0.5000 0.3062

## Properties
The space group is P4mm, No. 99. Its formation energy from the elements is -6 meV per atom.


[11]
First-principles (meta-GGA SCAN) data for Ba2SrMg2 at its PBEsol-relaxed geometry, as listed in Alexandria.

Lattice parameters (Å, degrees): 4.6017 9.7862 9.7862 90.00 90.00 90.00
Atoms (fractional coordinates):
Sr1 0.0000 0.0000 0.0000
Sr2 0.0000 0.5000 0.5000
Mg1 0.0000 0.3763 0.8763
Mg2 0.0000 0.8763 0.6237
Mg3 0.0000 0.6237 0.1237
Mg4 0.0000 0.1237 0.3763
Ba1 0.5000 0.1655 0.6655
Ba2 0.5000 0.6655 0.8345
Ba3 0.5000 0.8345 0.3345
Ba4 0.5000 0.3345 0.1655

## Properties
The space group is P4/mbm, No. 127. Its formation energy from the elements is 18 meV per atom.


[12]
First-principles (meta-GGA SCAN) data for Ba2SrMg at its PBEsol-relaxed geometry, as listed in Alexandria.

Lattice parameters (Å, degrees): 6.2937 6.2937 6.2937 60.00 60.00 60.00
Atoms (fractional coordinates):
Sr1 0.2500 0.2500 0.2500
Mg1 0.5000 0.5000 0.5000
Ba1 0.0000 0.0000 0.0000
Ba2 0.7500 0.7500 0.7500

## Properties
The space group is F-43m, No. 216. Its formation energy from the elements is 48 meV per atom.